Run one
Here is a relaxed structure of HPd2Se from Alexandria. Energies are from PBE-GGA.

Geometry as CIF:
```
data_HPd2Se
_chemical_formula_sum 'H3 Pd6 Se3'
_cell_length_a 4.3408
_cell_length_b 4.3408
_cell_length_c 13.6284
_cell_angle_alpha 90.00
_cell_angle_beta 90.00
_cell_angle_gamma 120.00
_space_group_name_H-M_alt 'P 1'
_space_group_IT_number 1
loop_
_space_group_symop_operation_xyz
'x,y,z'
loop_
_atom_site_label
_atom_site_fract_x
_atom_site_fract_y
_atom_site_fract_z
H1 0.0000 0.0000 0.0000
H2 0.3333 0.6667 0.6667
H3 0.6667 0.3333 0.3333
Pd1 0.0000 0.0000 0.1229
Pd2 0.0000 0.0000 0.8771
Pd3 0.3333 0.6667 0.5438
Pd4 0.3333 0.6667 0.7896
Pd5 0.6667 0.3333 0.2104
Pd6 0.6667 0.3333 0.4562
Se1 0.0000 0.0000 0.5000
Se2 0.3333 0.6667 0.1667
Se3 0.6667 0.3333 0.8333
```

Theoretical density   6.56 g/cm³
D(E_F)   6.399 states/eV per cell
Calculated volume   18.53 A^3/atom
Symmetry   R-3m


Run two
Here is a relaxed structure of HPd2Se from Alexandria. Energies are from PBE-GGA.

Geometry as CIF:
```
data_HPd2Se
_chemical_formula_sum 'H3 Pd6 Se3'
_cell_length_a 3.1827
_cell_length_b 3.1827
_cell_length_c 18.4917
_cell_angle_alpha 90.00
_cell_angle_beta 90.00
_cell_angle_gamma 120.00
_space_group_name_H-M_alt 'P 1'
_space_group_IT_number 1
loop_
_space_group_symop_operation_xyz
'x,y,z'
loop_
_atom_site_label
_atom_site_fract_x
_atom_site_fract_y
_atom_site_fract_z
H1 0.0000 0.0000 0.0000
H2 0.3333 0.6667 0.6667
H3 0.6667 0.3333 0.3333
Pd1 0.0000 0.0000 0.4246
Pd2 0.0000 0.0000 0.6388
Pd3 0.3333 0.6667 0.0913
Pd4 0.3333 0.6667 0.3055
Pd5 0.6667 0.3333 0.7580
Pd6 0.6667 0.3333 0.9721
Se1 0.0000 0.0000 0.1869
Se2 0.3333 0.6667 0.8536
Se3 0.6667 0.3333 0.5202
```

Theoretical density   8.99 g/cm³
D(E_F)   4.334 states/eV per cell
Calculated volume   13.52 A^3/atom
Symmetry   R3m


Run three
Here is a relaxed structure of HPd2Se from Alexandria. Energies are from PBE-GGA.

Geometry as CIF:
```
data_HPd2Se
_chemical_formula_sum 'H1 Pd2 Se1'
_cell_length_a 3.1065
_cell_length_b 3.1240
_cell_length_c 6.2120
_cell_angle_alpha 77.72
_cell_angle_beta 77.75
_cell_angle_gamma 66.53
_space_group_name_H-M_alt 'P 1'
_space_group_IT_number 1
loop_
_space_group_symop_operation_xyz
'x,y,z'
loop_
_atom_site_label
_atom_site_fract_x
_atom_site_fract_y
_atom_site_fract_z
H1 0.0000 0.0000 0.0000
Pd1 0.3988 0.0835 0.1835
Pd2 0.9084 0.5996 0.8159
Se1 0.6641 0.3309 0.5001
```

Theoretical density   9.09 g/cm³
D(E_F)   1.674 states/eV per cell
Calculated volume   13.37 A^3/atom
Symmetry   P1


The data favor run three; the next most stable structure lies 0.047 eV/atom above it.


Run one
Here is a relaxed structure of HPd5Se from Alexandria. Energies are from PBE-GGA.

Geometry as CIF:
```
data_HPd5Se
_chemical_formula_sum 'H4 Pd20 Se4'
_cell_length_a 5.3291
_cell_length_b 11.7382
_cell_length_c 6.7341
_cell_angle_alpha 90.00
_cell_angle_beta 106.92
_cell_angle_gamma 90.00
_space_group_name_H-M_alt 'P 1'
_space_group_IT_number 1
loop_
_space_group_symop_operation_xyz
'x,y,z'
loop_
_atom_site_label
_atom_site_fract_x
_atom_site_fract_y
_atom_site_fract_z
H1 0.1262 0.2250 0.0954
H2 0.1262 0.2750 0.5954
H3 0.8738 0.7250 0.4046
H4 0.8738 0.7750 0.9046
Pd1 0.0112 0.5704 0.3131
Pd2 0.0112 0.9296 0.8131
Pd3 0.1239 0.7188 0.6616
Pd4 0.1239 0.7812 0.1616
Pd5 0.1753 0.1174 0.6139
Pd6 0.1753 0.3826 0.1139
Pd7 0.3730 0.6018 0.0396
Pd8 0.3730 0.8982 0.5396
Pd9 0.4383 0.1778 0.0464
Pd10 0.4383 0.3222 0.5464
Pd11 0.5617 0.6778 0.4536
Pd12 0.5617 0.8222 0.9536
Pd13 0.6270 0.1018 0.4604
Pd14 0.6270 0.3982 0.9604
Pd15 0.8247 0.6174 0.8861
Pd16 0.8247 0.8826 0.3861
Pd17 0.8761 0.2188 0.8384
Pd18 0.8761 0.2812 0.3384
Pd19 0.9888 0.0704 0.1869
Pd20 0.9888 0.4296 0.6869
Se1 0.3831 0.5402 0.6839
Se2 0.3831 0.9598 0.1839
Se3 0.6169 0.0402 0.8161
Se4 0.6169 0.4598 0.3161
```

Theoretical density   10.09 g/cm³
D(E_F)   16.436 states/eV per cell
Calculated volume   14.39 A^3/atom
Symmetry   P2_1/c


Run two
Here is a relaxed structure of HPd5Se from Alexandria. Energies are from PBE-GGA.

Geometry as CIF:
```
data_HPd5Se
_chemical_formula_sum 'H2 Pd10 Se2'
_cell_length_a 6.0425
_cell_length_b 6.0425
_cell_length_c 7.8127
_cell_angle_alpha 117.40
_cell_angle_beta 117.40
_cell_angle_gamma 68.55
_space_group_name_H-M_alt 'P 1'
_space_group_IT_number 1
loop_
_space_group_symop_operation_xyz
'x,y,z'
loop_
_atom_site_label
_atom_site_fract_x
_atom_site_fract_y
_atom_site_fract_z
H1 0.0000 0.0000 0.0000
H2 0.0000 0.0000 0.5000
Pd1 0.0552 0.9448 0.7500
Pd2 0.2179 0.2495 0.6727
Pd3 0.2495 0.2179 0.1727
Pd4 0.2743 0.6857 0.0471
Pd5 0.3143 0.7257 0.4529
Pd6 0.6857 0.2743 0.5471
Pd7 0.7257 0.3143 0.9529
Pd8 0.7505 0.7821 0.8273
Pd9 0.7821 0.7505 0.3273
Pd10 0.9448 0.0552 0.2500
Se1 0.4158 0.5842 0.7500
Se2 0.5842 0.4158 0.2500
```

Theoretical density   9.22 g/cm³
D(E_F)   8.268 states/eV per cell
Calculated volume   15.75 A^3/atom
Symmetry   C2/c


The data favor run one; the next most stable structure lies 0.084 eV/atom above it.


Run one
Here is a relaxed structure of HPd4Se from Alexandria. Energies are from PBE-GGA.

Geometry as CIF:
```
data_HPd4Se
_chemical_formula_sum 'H2 Pd8 Se2'
_cell_length_a 5.1869
_cell_length_b 5.3015
_cell_length_c 6.5484
_cell_angle_alpha 76.71
_cell_angle_beta 75.24
_cell_angle_gamma 85.18
_space_group_name_H-M_alt 'P 1'
_space_group_IT_number 1
loop_
_space_group_symop_operation_xyz
'x,y,z'
loop_
_atom_site_label
_atom_site_fract_x
_atom_site_fract_y
_atom_site_fract_z
H1 0.0750 0.2713 0.2368
H2 0.9250 0.7287 0.7632
Pd1 0.0588 0.0435 0.7623
Pd2 0.2098 0.5970 0.5623
Pd3 0.2243 0.5794 0.0351
Pd4 0.3743 0.1516 0.3358
Pd5 0.6257 0.8484 0.6642
Pd6 0.7757 0.4206 0.9649
Pd7 0.7902 0.4030 0.4377
Pd8 0.9412 0.9565 0.2377
Se1 0.4552 0.2575 0.7877
Se2 0.5448 0.7425 0.2123
```

Theoretical density   9.91 g/cm³
D(E_F)   5.453 states/eV per cell
Calculated volume   14.12 A^3/atom
Symmetry   P-1


Run two
Here is a relaxed structure of HPd4Se from Alexandria. Energies are from PBE-GGA.

Geometry as CIF:
```
data_HPd4Se
_chemical_formula_sum 'H2 Pd8 Se2'
_cell_length_a 6.2522
_cell_length_b 6.2522
_cell_length_c 6.2522
_cell_angle_alpha 107.78
_cell_angle_beta 107.78
_cell_angle_gamma 112.91
_space_group_name_H-M_alt 'P 1'
_space_group_IT_number 1
loop_
_space_group_symop_operation_xyz
'x,y,z'
loop_
_atom_site_label
_atom_site_fract_x
_atom_site_fract_y
_atom_site_fract_z
H1 0.0000 0.0000 0.0000
H2 0.7500 0.2500 0.5000
Pd1 0.3835 0.1875 0.1960
Pd2 0.5255 0.2066 0.6811
Pd3 0.5255 0.8444 0.3189
Pd4 0.5944 0.7755 0.8189
Pd5 0.9375 0.2415 0.3040
Pd6 0.9375 0.6335 0.6960
Pd7 0.9566 0.7755 0.1811
Pd8 0.9915 0.1875 0.8040
Se1 0.2189 0.7189 0.5000
Se2 0.4689 0.4689 0.0000
```

Theoretical density   8.95 g/cm³
D(E_F)   5.113 states/eV per cell
Calculated volume   15.64 A^3/atom
Symmetry   I4_1md


The data favor run one; the next most stable structure lies 0.144 eV/atom above it.


Run one
Here is a relaxed structure of SiH2Pd from Alexandria. Energies are from PBE-GGA.

Geometry as CIF:
```
data_SiH2Pd
_chemical_formula_sum 'Si4 H8 Pd4'
_cell_length_a 5.3409
_cell_length_b 5.3409
_cell_length_c 5.3409
_cell_angle_alpha 90.00
_cell_angle_beta 90.00
_cell_angle_gamma 90.00
_space_group_name_H-M_alt 'P 1'
_space_group_IT_number 1
loop_
_space_group_symop_operation_xyz
'x,y,z'
loop_
_atom_site_label
_atom_site_fract_x
_atom_site_fract_y
_atom_site_fract_z
Si1 0.0000 0.0000 0.0000
Si2 0.0000 0.5000 0.5000
Si3 0.5000 0.0000 0.5000
Si4 0.5000 0.5000 0.0000
H1 0.2500 0.2500 0.2500
H2 0.2500 0.2500 0.7500
H3 0.2500 0.7500 0.2500
H4 0.2500 0.7500 0.7500
H5 0.7500 0.2500 0.2500
H6 0.7500 0.2500 0.7500
H7 0.7500 0.7500 0.2500
H8 0.7500 0.7500 0.7500
Pd1 0.0000 0.0000 0.5000
Pd2 0.0000 0.5000 0.0000
Pd3 0.5000 0.0000 0.0000
Pd4 0.5000 0.5000 0.5000
```

Theoretical density   5.95 g/cm³
D(E_F)   8.636 states/eV per cell
Calculated volume   9.52 A^3/atom
Symmetry   Fm-3m


Run two
Here is a relaxed structure of SiH2Pd from Alexandria. Energies are from PBE-GGA.

Geometry as CIF:
```
data_SiH2Pd
_chemical_formula_sum 'Si4 H8 Pd4'
_cell_length_a 4.3980
_cell_length_b 4.3980
_cell_length_c 8.5238
_cell_angle_alpha 90.00
_cell_angle_beta 90.00
_cell_angle_gamma 90.00
_space_group_name_H-M_alt 'P 1'
_space_group_IT_number 1
loop_
_space_group_symop_operation_xyz
'x,y,z'
loop_
_atom_site_label
_atom_site_fract_x
_atom_site_fract_y
_atom_site_fract_z
Si1 0.0000 0.0000 0.0000
Si2 0.0000 0.5000 0.2500
Si3 0.5000 0.0000 0.7500
Si4 0.5000 0.5000 0.5000
H1 0.2099 0.2500 0.6250
H2 0.2500 0.7099 0.8750
H3 0.2500 0.7901 0.3750
H4 0.2901 0.2500 0.1250
H5 0.7099 0.7500 0.1250
H6 0.7500 0.2099 0.3750
H7 0.7500 0.2901 0.8750
H8 0.7901 0.7500 0.6250
Pd1 0.0000 0.0000 0.5000
Pd2 0.0000 0.5000 0.7500
Pd3 0.5000 0.0000 0.2500
Pd4 0.5000 0.5000 0.0000
```

Theoretical density   5.50 g/cm³
D(E_F)   3.472 states/eV per cell
Calculated volume   10.30 A^3/atom
Symmetry   I-42d


The data favor run two; the next most stable structure lies 0.342 eV/atom above it.